A relaxed structure of Li2YIn. Source: Alexandria, functional PBE.

Lattice parameters (Å, degrees): 3.5117 3.5117 7.5052 90.00 90.00 90.00
Last column: nearest neighbours and their distance in Å.
Space group P4mm (No. 99)
One atom of each set of equivalent atoms:
Li 0.0000 0.0000 0.0000  4 Li 2.91, 4 In 2.95
Li 0.5000 0.5000 0.2021  4 Li 2.91, 1 In 3.11
Y 0.0000 0.0000 0.5129  4 In 3.23, 4 Li 3.41, 4 Y 3.51
In 0.5000 0.5000 0.7879  5 Li 2.95-3.11, 4 Y 3.23

Calculated values
The formation energy from the elements is -0.164 eV/atom. Its crystal system is tetragonal. The density of states at the Fermi level is 2.5 states/eV per cell.


A relaxed structure of Li2YIn. Source: Alexandria, functional PBE.

Lattice parameters (Å, degrees): 3.3787 3.3787 29.9504 90.00 90.00 120.00
Last column: nearest neighbours and their distance in Å.
Space group R-3m (No. 166, hexagonal axes)
One atom of each set of equivalent atoms:
Li 0.0000 0.0000 0.2409  3 In 2.96
Y 0.0000 0.0000 0.0000  6 Y 3.38, 6 Li 3.39
In 0.0000 0.0000 0.5000  6 Li 2.96

Calculated values
The formation energy from the elements is 0.015 eV/atom. Its crystal system is trigonal. The density of states at the Fermi level is 7.4 states/eV per cell.


A relaxed structure of LiY6In5. Source: Alexandria, functional PBE.

Lattice parameters (Å, degrees): 5.3257 16.0387 7.4318 90.00 90.00 90.00
Last column: nearest neighbours and their distance in Å.
Space group Cmmm (No. 65)
One atom of each set of equivalent atoms:
Li 0.0000 0.0000 0.0000  8 Y 3.25-3.26
Y 0.0000 0.1675 0.2468  7 In 3.24-3.34, 1 Li 3.25
Y 0.0000 0.5000 0.2520  6 In 3.15-3.25, 2 Li 3.26
In 0.0000 0.0000 0.5000  8 Y 3.24-3.28
In 0.0000 0.3335 0.5000  8 Y 3.25-3.26
In 0.0000 0.3418 0.0000  8 Y 3.15-3.34

Calculated values
The formation energy from the elements is -0.456 eV/atom. Its crystal system is orthorhombic. The density of states at the Fermi level is 15.7 states/eV per cell.


A relaxed structure of Li2YIn. Source: Alexandria, functional PBE.

Lattice parameters (Å, degrees): 3.8912 4.9289 5.0408 90.00 90.00 90.00
Last column: nearest neighbours and their distance in Å.
Space group Pmmm (No. 47)
One atom of each set of equivalent atoms:
Li 0.0000 0.0000 0.0000  4 Li 3.14, 4 In 3.18
Li 0.5000 0.5000 0.0000  4 Li 3.14, 4 Y 3.18
Y 0.0000 0.5000 0.5000  4 In 3.14, 4 Li 3.18
In 0.5000 0.0000 0.5000  4 Y 3.14, 4 Li 3.18

Calculated values
The formation energy from the elements is -0.155 eV/atom. Its crystal system is orthorhombic. The density of states at the Fermi level is 3.4 states/eV per cell.


A relaxed structure of LiY2In8. Source: Alexandria, functional PBE.

Lattice parameters (Å, degrees): 4.6855 4.6855 12.2924 90.00 90.00 90.00
Last column: nearest neighbours and their distance in Å.
Space group P4/mmm (No. 123)
One atom of each set of equivalent atoms:
Li 0.0000 0.0000 0.0000  8 In 2.82
Y 0.0000 0.0000 0.3128  12 In 3.27-3.31
In 0.0000 0.5000 0.1271  2 Li 2.82, 1 In 3.13
In 0.0000 0.5000 0.5000  4 Y 3.28, 8 In 3.31
In 0.5000 0.5000 0.3102  8 In 3.25-3.31, 4 Y 3.31

Calculated values
The formation energy from the elements is -0.340 eV/atom. Its crystal system is tetragonal. The density of states at the Fermi level is 4.0 states/eV per cell.


A relaxed structure of LiYIn4. Source: Alexandria, functional PBE.

Lattice parameters (Å, degrees): 8.5087 8.5087 8.5087 90.00 90.00 90.00
Last column: nearest neighbours and their distance in Å.
Space group F-43m (No. 216)
One atom of each set of equivalent atoms:
Li 0.0000 0.0000 0.0000  12 In 3.53, 4 Y 3.68
Y 0.2500 0.2500 0.7500  12 In 3.53, 4 Li 3.68
In 0.1251 0.1251 0.3749  6 In 3.01

Calculated values
The formation energy from the elements is -0.142 eV/atom. Its crystal system is cubic. The density of states at the Fermi level is 15.8 states/eV per cell.


A relaxed structure of LiY3In2. Source: Alexandria, functional PBE.

Lattice parameters (Å, degrees): 5.2932 5.2932 13.0090 90.00 90.00 120.00
Last column: nearest neighbours and their distance in Å.
Space group P-3m1 (No. 164)
One atom of each set of equivalent atoms:
Li 0.3333 0.6667 0.1705  8 Y 3.20-3.28
Y 0.0000 0.0000 0.2501  5 In 3.20-3.25, 3 Li 3.23
Y 0.3333 0.6667 0.4165  1 Li 3.20, 7 In 3.24-3.40
Y 0.3333 0.6667 0.9185  4 In 3.14-3.23, 4 Li 3.27-3.28
In 0.0000 0.0000 0.0000  8 Y 3.23-3.25
In 0.0000 0.0000 0.5000  8 Y 3.24-3.25
In 0.3333 0.6667 0.6775  8 Y 3.14-3.40

Calculated values
The formation energy from the elements is -0.379 eV/atom. Its crystal system is trigonal. The density of states at the Fermi level is 10.2 states/eV per cell.


A relaxed structure of Li2Y2In. Source: Alexandria, functional PBE.

Lattice parameters (Å, degrees): 5.0215 5.1178 9.7334 90.00 90.35 90.00
Last column: nearest neighbours and their distance in Å.
Space group C2/m (No. 12)
One atom of each set of equivalent atoms:
Li 0.0000 0.2245 0.0000  3 Li 2.30-2.52
Y 0.0026 0.5000 0.7111  2 Li 3.15, 4 In 3.24-3.28
In 0.0000 0.0000 0.5000  8 Y 3.24-3.28, 4 In 3.58

Calculated values
For the energy above the most stable polymorph in this dataset, the calculation gives 87 meV/atom. The formation energy from the elements is -0.047 eV/atom. Its crystal system is monoclinic. The density of states at the Fermi level is 10.6 states/eV per cell.


A relaxed structure of LiYIn. Source: Alexandria, functional PBE.

Lattice parameters (Å, degrees): 6.6711 6.6711 6.6711 90.00 90.00 90.00
Last column: nearest neighbours and their distance in Å.
Space group F-43m (No. 216)
One atom of each set of equivalent atoms:
Li 0.0000 0.0000 0.0000  4 In 2.89, 4 Y 2.89
Y 0.2500 0.2500 0.2500  4 Li 2.89
In 0.2500 0.2500 0.7500  4 Li 2.89

Calculated values
For the energy above the most stable polymorph in this dataset, the calculation gives 245 meV/atom. The formation energy from the elements is -0.108 eV/atom. Its crystal system is cubic. The density of states at the Fermi level is 11.7 states/eV per cell.


A relaxed structure of LiY4In5. Source: Alexandria, functional PBE.

Lattice parameters (Å, degrees): 3.5375 3.5375 20.1210 90.00 90.00 90.00
Last column: nearest neighbours and their distance in Å.
Space group P4/mmm (No. 123)
One atom of each set of equivalent atoms:
Li 0.0000 0.0000 0.0000  8 In 2.95
Y 0.0000 0.0000 0.1824  8 In 3.27-3.28, 4 Y 3.54
Y 0.0000 0.0000 0.3937  8 In 3.28-3.29, 4 Y 3.54
In 0.5000 0.5000 0.0779  4 Li 2.95, 1 In 3.13, 4 Y 3.27
In 0.5000 0.5000 0.2880  8 Y 3.28, 4 In 3.54
In 0.5000 0.5000 0.5000  8 Y 3.29, 4 In 3.54

Calculated values
The formation energy from the elements is -0.467 eV/atom. Its crystal system is tetragonal. The density of states at the Fermi level is 5.3 states/eV per cell.


A relaxed structure of LiYIn3. Source: Alexandria, functional PBE.

Lattice parameters (Å, degrees): 5.8719 5.8719 5.8719 90.00 90.00 90.00
Last column: nearest neighbours and their distance in Å.
Space group Pm-3m (No. 221)
One atom of each set of equivalent atoms:
Li 0.0000 0.0000 0.0000  12 In 4.15
Y 0.5000 0.5000 0.5000  6 In 2.94
In 0.0000 0.5000 0.5000  2 Y 2.94

Calculated values
For the energy above the most stable polymorph in this dataset, the calculation gives 707 meV/atom. The formation energy from the elements is 0.476 eV/atom. Its crystal system is cubic. The density of states at the Fermi level is 4.9 states/eV per cell.


A relaxed structure of Li6YIn6. Source: Alexandria, functional PBE.

Lattice parameters (Å, degrees): 5.7395 9.5265 9.6483 90.00 90.00 90.00
Last column: nearest neighbours and their distance in Å.
Space group Immm (No. 71)
One atom of each set of equivalent atoms:
Li 0.0000 0.0000 0.2303  4 Li 2.79, 6 In 2.89-3.06
Li 0.2500 0.2500 0.2500  4 Li 2.79-2.87, 6 In 2.86-2.94
Y 0.0000 0.5000 0.5000  8 In 3.27-3.42, 4 Li 3.63
In 0.0000 0.1566 0.5000  6 Li 2.94-3.00, 3 In 2.98-3.20, 1 Y 3.27
In 0.0000 0.1947 0.0000  6 Li 2.86-2.89
In 0.0000 0.5000 0.1596  6 Li 2.91-3.06, 1 In 3.08

Calculated values
The formation energy from the elements is -0.301 eV/atom. Its crystal system is orthorhombic. The density of states at the Fermi level is 9.0 states/eV per cell.


Record order is preserved below.
Calculated total energy: -3.421, -3.242, -4.988, -3.412, -3.681, -3.364, -4.843, -3.946, -3.813, -4.614, -2.842, -2.945 eV per atom